This record from Alexandria describes a relaxed TlNiIrO4 crystal. The functional is PBE+U.

abc: 6.263 6.380 6.417
angles: 120.19 90.00 119.40
Each line ends with the local moment (μB).
Sites, in units of the cell vectors:
Tl 0.860 0.721 0.110  0.01
Tl 0.140 0.279 0.890  0.01
Ni 0.500 0.500 0.500  1.75
Ni 0.000 0.500 0.500  1.75
Ir 0.500 0.000 0.500  0.03
Ir 0.500 0.000 0.000  0.03
O 0.724 0.448 0.684  0.06
O 0.307 0.027 0.263  0.03
O 0.720 0.027 0.263  0.03
O 0.724 0.448 0.264  0.06
O 0.276 0.552 0.736  0.06
O 0.693 0.973 0.737  0.03
O 0.280 0.973 0.737  0.03
O 0.276 0.552 0.316  0.06

Summary:
Raw total energy in eV per atom: -5.56

This record from Alexandria describes a relaxed TlNi2IrO6 crystal. The functional is PBE+U.

abc: 5.326 5.325 5.647
angles: 61.88 61.86 60.00
Each line ends with the local moment (μB).
Sites, in units of the cell vectors:
Tl 0.797 0.797 0.608  0.00
Ni 0.524 0.524 0.427  1.73
Ni 0.010 0.010 0.970  1.74
Ir 0.321 0.321 0.037  -1.06
O 0.591 0.245 0.231  -0.11
O 0.245 0.933 0.231  -0.11
O 0.933 0.591 0.231  -0.11
O 0.371 0.716 0.760  -0.01
O 0.716 0.153 0.760  -0.01
O 0.153 0.371 0.760  -0.01

Summary:
Raw total energy in eV per atom: -5.40

This record from Alexandria describes a relaxed TlNiIrO6 crystal. The functional is PBE+U.

abc: 5.457 5.457 8.405
angles: 90.00 90.00 120.00
Each line ends with the local moment (μB).
Sites, in units of the cell vectors:
Tl 0.333 0.667 0.250  0.00
Tl 0.667 0.333 0.750  0.00
Ni 0.000 0.000 0.000  1.78
Ni 0.000 0.000 0.500  1.78
Ir 0.667 0.333 0.250  -0.02
Ir 0.333 0.667 0.750  -0.02
O 0.684 0.633 0.121  0.02
O 0.949 0.316 0.121  0.02
O 0.316 0.949 0.621  0.02
O 0.051 0.684 0.879  0.02
O 0.367 0.316 0.379  0.02
O 0.949 0.633 0.379  0.02
O 0.633 0.949 0.879  0.02
O 0.684 0.051 0.379  0.02
O 0.051 0.367 0.621  0.02
O 0.367 0.051 0.121  0.02
O 0.633 0.684 0.621  0.02
O 0.316 0.367 0.879  0.02

Summary:
Raw total energy in eV per atom: -5.37